1.
# PmZrAl4

Crystalline PmZrAl4 at its relaxed geometry (PBE, the Alexandria database).

a = 5.494 Å, b = 5.494 Å, c = 5.494 Å
α = 60.00°, β = 60.00°, γ = 60.00°
Element x y z (fractional)
Al  0.124  0.625  0.625
Al  0.625  0.625  0.124
Al  0.625  0.124  0.625
Al  0.625  0.625  0.625
Pm  0.250  0.250  0.250
Zr  0.000  0.000  0.000

## Properties
The value obtained for the density of states at the Fermi level is 2.53 states/eV per cell. For the calculated density, the calculation gives 4.9 Mg/m³. As for the total energy: -31.14 eV/f.u. The calculation puts the formation energy at -0.479 eV per atom. The crystal system is cubic.

2.
# SrHfPd2

Crystalline SrHfPd2 at its relaxed geometry (PBE, the Alexandria database).

a = 3.413 Å, b = 3.413 Å, c = 7.555 Å
α = 90.00°, β = 90.00°, γ = 90.00°
Element x y z (fractional)
Pd  0.000  0.000  0.808
Pd  0.000  0.000  0.192
Sr  0.500  0.500  0.500
Hf  0.500  0.500  0.000

## Properties
The value obtained for the density of states at the Fermi level is 2.77 states/eV per cell. For the calculated density, the calculation gives 9.0 Mg/m³. As for the total energy: -24.54 eV/f.u. The calculation puts the formation energy at -0.629 eV per atom. The crystal system is tetragonal.